[1]
A plane-wave DFT calculation with PBE was carried out for crystalline FeBiSe3 at its relaxed geometry.

abc: 4.7534 4.7534 4.7534
angles: 90.00 90.00 90.00
Sites, in units of the cell vectors:
1 Fe 0.0000 0.0000 0.0000
2 Bi 0.5000 0.5000 0.5000
3 Se 0.0000 0.0000 0.5000
4 Se 0.0000 0.5000 0.0000
5 Se 0.5000 0.0000 0.0000

energy relative to the elements, uncorrected	20	kJ/mol of atoms
density of states at the Fermi level	1.883	states/eV per atom
uncorrected energy	-4.351	eV/atom
ΔE to the lowest computed polymorph	0.000	eV per atom
SG	No. 221



[2]
A plane-wave DFT calculation with PBE was carried out for crystalline Pm3In2Rh3 at its relaxed geometry.

abc: 8.3287 8.3287 6.0130
angles: 90.00 90.00 120.00
Sites, in units of the cell vectors:
1 Pm 0.0000 0.2714 0.2500
2 Pm 0.0000 0.7286 0.7500
3 Pm 0.2714 0.0000 0.2500
4 Pm 0.2714 0.2714 0.7500
5 Pm 0.7286 0.0000 0.7500
6 Pm 0.7286 0.7286 0.2500
7 In 0.3333 0.6667 0.0000
8 In 0.3333 0.6667 0.5000
9 In 0.6667 0.3333 0.0000
10 In 0.6667 0.3333 0.5000
11 Rh 0.0000 0.3952 0.7500
12 Rh 0.0000 0.6048 0.2500
13 Rh 0.3952 0.0000 0.7500
14 Rh 0.3952 0.3952 0.2500
15 Rh 0.6048 0.0000 0.2500
16 Rh 0.6048 0.6048 0.7500

density of states at the Fermi level	0.660	states/eV per atom
formation enthalpy at 0 K	-0.634	eV/atom
uncorrected energy	-5.857	eV/atom
ΔE to the lowest computed polymorph	0.000	eV per atom
SG	No. 193



[3]
A plane-wave DFT calculation with PBE was carried out for crystalline PrDy5TmSc2 at its relaxed geometry.

abc: 11.1368 11.1368 9.3037
angles: 90.00 90.00 150.90
Sites, in units of the cell vectors:
1 Pr 0.1838 0.8162 0.5000
2 Pr 0.8162 0.1838 0.0000
3 Dy 0.0090 0.9910 0.4969
4 Dy 0.2661 0.7339 0.8146
5 Dy 0.3075 0.6925 0.2017
6 Dy 0.3931 0.6069 0.5307
7 Dy 0.4680 0.5320 0.2313
8 Dy 0.5320 0.4680 0.7313
9 Dy 0.6069 0.3931 0.0307
10 Dy 0.6925 0.3075 0.7017
11 Dy 0.7339 0.2661 0.3146
12 Dy 0.9910 0.0090 0.9969
13 Tm 0.4033 0.5967 0.9027
14 Tm 0.5967 0.4033 0.4027
15 Sc 0.1137 0.8863 0.8086
16 Sc 0.1368 0.8632 0.1814
17 Sc 0.8632 0.1368 0.6814
18 Sc 0.8863 0.1137 0.3086

density of states at the Fermi level	1.479	states/eV per atom
formation enthalpy at 0 K	0.170	eV/atom
uncorrected energy	-4.822	eV/atom
SG	No. 36



[4]
A plane-wave DFT calculation with PBE was carried out for crystalline YCrAs2 at its relaxed geometry.

abc: 3.1648 3.1648 6.9775
angles: 90.00 90.00 90.00
Sites, in units of the cell vectors:
1 Y 0.0000 0.0000 0.0000
2 Cr 0.0000 0.0000 0.5000
3 As 0.5000 0.5000 0.2975
4 As 0.5000 0.5000 0.7025

density of states at the Fermi level	0.698	states/eV per atom
formation enthalpy at 0 K	-0.319	eV/atom
uncorrected energy	-6.666	eV/atom
ΔE to the lowest computed polymorph	0.463	eV per atom
SG	No. 123



Q: What is the formula in the second record?
A: Pm3In2Rh3



Q: Which of these has the highest uncorrected energy?
A: FeBiSe3



What did the first record say?
A plane-wave DFT calculation with PBE was carried out for crystalline FeBiSe3 at its relaxed geometry.

abc: 4.7534 4.7534 4.7534
angles: 90.00 90.00 90.00
Sites, in units of the cell vectors:
1 Fe 0.0000 0.0000 0.0000
2 Bi 0.5000 0.5000 0.5000
3 Se 0.0000 0.0000 0.5000
4 Se 0.0000 0.5000 0.0000
5 Se 0.5000 0.0000 0.0000

energy relative to the elements, uncorrected	20	kJ/mol of atoms
density of states at the Fermi level	1.883	states/eV per atom
uncorrected energy	-4.351	eV/atom
ΔE to the lowest computed polymorph	0.000	eV per atom
SG	No. 221